[1]
The following is a DFT calculation (PBE) of a geometry-optimized SrGdBiPb structure.

- D(E_F): 4.73 states/eV per cell
- Energy: -6.36 eV per atom

Lattice parameters (Å, degrees): 5.6904 5.6904 5.6904 60.00 60.00 60.00
Element x y z (fractional)
Sr (0.0000, 0.0000, 0.0000)
Gd (0.5000, 0.5000, 0.5000)
Bi (0.7500, 0.7500, 0.7500)
Pb (0.2500, 0.2500, 0.2500)



[2]
The following is a DFT calculation (PBE) of a geometry-optimized GdThBiPb structure.

- D(E_F): 4.99 states/eV per cell
- Energy: -7.69 eV per atom

Lattice parameters (Å, degrees): 5.5529 5.5529 5.5529 60.00 60.00 60.00
Element x y z (fractional)
Gd (0.0000, 0.0000, 0.0000)
Th (0.5000, 0.5000, 0.5000)
Bi (0.2500, 0.2500, 0.2500)
Pb (0.7500, 0.7500, 0.7500)



[3]
The following is a DFT calculation (PBE) of a geometry-optimized GdTlBiPb structure.

- D(E_F): 3.18 states/eV per cell
- Energy: -6.23 eV per atom

Lattice parameters (Å, degrees): 5.5731 5.5731 5.5731 60.00 60.00 60.00
Element x y z (fractional)
Gd (0.0000, 0.0000, 0.0000)
Tl (0.2500, 0.2500, 0.2500)
Bi (0.7500, 0.7500, 0.7500)
Pb (0.5000, 0.5000, 0.5000)



[4]
The following is a DFT calculation (PBE) of a geometry-optimized GdBiPd2 structure.

- D(E_F): 2.47 states/eV per cell
- Energy: -7.73 eV per atom

Lattice parameters (Å, degrees): 4.6557 4.6557 3.9601 90.00 90.00 90.00
Element x y z (fractional)
Gd (0.0000, 0.0000, 0.0000)
Bi (0.5000, 0.5000, 0.0000)
Pd (0.0000, 0.5000, 0.5000)
Pd (0.5000, 0.0000, 0.5000)



[5]
The following is a DFT calculation (PBE) of a geometry-optimized Gd2BiPd structure.

- Energy relative to the lowest polymorph listed for this composition: 0.0 meV per atom
- D(E_F): 4.01 states/eV per cell
- Energy: -10.03 eV per atom

Lattice parameters (Å, degrees): 3.7090 3.7090 7.5307 90.00 90.00 90.00
Element x y z (fractional)
Gd (0.0000, 0.0000, 0.2235)
Gd (0.0000, 0.0000, 0.7765)
Bi (0.5000, 0.5000, 0.5000)
Pd (0.5000, 0.5000, 0.0000)



[6]
The following is a DFT calculation (PBE) of a geometry-optimized GdBiPd2 structure.

- D(E_F): 3.72 states/eV per cell
- Energy: -7.69 eV per atom

Lattice parameters (Å, degrees): 3.6820 3.6820 6.4792 90.00 90.00 90.00
Element x y z (fractional)
Gd (0.0000, 0.0000, 0.0000)
Bi (0.0000, 0.0000, 0.5000)
Pd (0.5000, 0.5000, 0.2323)
Pd (0.5000, 0.5000, 0.7677)



[7]
The following is a DFT calculation (PBE) of a geometry-optimized Gd2BiPd structure.

- Energy relative to the lowest polymorph listed for this composition: 18.1 meV per atom
- D(E_F): 4.45 states/eV per cell
- Energy: -10.01 eV per atom

Lattice parameters (Å, degrees): 5.2608 5.2608 5.2608 60.00 60.00 60.00
Element x y z (fractional)
Gd (0.2500, 0.2500, 0.2500)
Gd (0.7500, 0.7500, 0.7500)
Bi (0.0000, 0.0000, 0.0000)
Pd (0.5000, 0.5000, 0.5000)



[8]
The following is a DFT calculation (PBE) of a geometry-optimized PmGdBiPd structure.

- D(E_F): 4.45 states/eV per cell
- Energy: -7.66 eV per atom

Lattice parameters (Å, degrees): 5.3088 5.3088 5.3088 60.00 60.00 60.00
Element x y z (fractional)
Pm (0.0000, 0.0000, 0.0000)
Gd (0.5000, 0.5000, 0.5000)
Bi (0.7500, 0.7500, 0.7500)
Pd (0.2500, 0.2500, 0.2500)



[9]
The following is a DFT calculation (PBE) of a geometry-optimized PrGdBiPd structure.

- D(E_F): 4.49 states/eV per cell
- Energy: -7.66 eV per atom

Lattice parameters (Å, degrees): 5.3485 5.3485 5.3485 60.00 60.00 60.00
Element x y z (fractional)
Pr (0.0000, 0.0000, 0.0000)
Gd (0.5000, 0.5000, 0.5000)
Bi (0.2500, 0.2500, 0.2500)
Pd (0.7500, 0.7500, 0.7500)



[10]
The following is a DFT calculation (PBE) of a geometry-optimized GdBiPdPt structure.

- D(E_F): 2.59 states/eV per cell
- Energy: -8.03 eV per atom

Lattice parameters (Å, degrees): 4.9455 4.9455 4.9455 60.00 60.00 60.00
Element x y z (fractional)
Gd (0.0000, 0.0000, 0.0000)
Bi (0.5000, 0.5000, 0.5000)
Pd (0.7500, 0.7500, 0.7500)
Pt (0.2500, 0.2500, 0.2500)



[11]
The following is a DFT calculation (PBE) of a geometry-optimized GdBiPdRh structure.

- D(E_F): 3.12 states/eV per cell
- Energy: -8.23 eV per atom

Lattice parameters (Å, degrees): 4.8860 4.8860 4.8860 60.00 60.00 60.00
Element x y z (fractional)
Gd (0.0000, 0.0000, 0.0000)
Bi (0.5000, 0.5000, 0.5000)
Pd (0.7500, 0.7500, 0.7500)
Rh (0.2500, 0.2500, 0.2500)



[12]
The following is a DFT calculation (PBE) of a geometry-optimized PmGdBi2 structure.

- Energy relative to the lowest polymorph listed for this composition: 195.7 meV per atom
- D(E_F): 3.75 states/eV per cell
- Energy: -7.38 eV per atom

Lattice parameters (Å, degrees): 5.9071 5.9071 3.4645 90.00 90.00 90.00
Element x y z (fractional)
Pm (0.0000, 0.0000, 0.0000)
Gd (0.5000, 0.5000, 0.0000)
Bi (0.0000, 0.5000, 0.5000)
Bi (0.5000, 0.0000, 0.5000)